No. 1
# Cs3PtS

A relaxed structure of Cs3PtS (PBE-GGA, Alexandria via LeMat-Bulk).

Structure (CIF):
```
data_Cs3PtS
_chemical_formula_sum 'Cs3 Pt1 S1'
_symmetry_space_group_name_H-M 'P m -3 m'
_symmetry_Int_Tables_number 221
_symmetry_space_group_name_Hall '-P 4 2 3'
_cell_length_a 6.609
_cell_length_b 6.609
_cell_length_c 6.609
_cell_angle_alpha 90.00
_cell_angle_beta 90.00
_cell_angle_gamma 90.00
loop_
_atom_site_label
_atom_site_fract_x
_atom_site_fract_y
_atom_site_fract_z
Cs1 0.000 0.000 0.500
Pt1 0.500 0.500 0.500
S1 0.000 0.000 0.000
```

Energy above the most stable polymorph in this dataset ... 0.00 eV/f.u.
Fermi-level density of states ... 3.659 states/eV per cell
Uncorrected formation energy ... -0.62 eV/f.u.
Raw total energy ... -13.4 eV/cell
Total magnetic moment ... 1.0 Bohr magnetons per cell



No. 2
# TbDyAlTl

A relaxed structure of TbDyAlTl (PBE-GGA, Alexandria via LeMat-Bulk).

Structure (CIF):
```
data_TbDyAlTl
_chemical_formula_sum 'Tb1 Dy1 Al1 Tl1'
_symmetry_space_group_name_H-M 'P 4 m m'
_symmetry_Int_Tables_number 99
_cell_length_a 3.639
_cell_length_b 3.639
_cell_length_c 7.741
_cell_angle_alpha 90.00
_cell_angle_beta 90.00
_cell_angle_gamma 90.00
loop_
_symmetry_equiv_pos_as_xyz
'x,y,z'
'-y,x,z'
'-x,-y,z'
'y,-x,z'
'-x,y,z'
'y,x,z'
'x,-y,z'
'-y,-x,z'
loop_
_atom_site_label
_atom_site_fract_x
_atom_site_fract_y
_atom_site_fract_z
Tb1 0.000 0.000 0.000
Dy1 0.000 0.000 0.529
Al1 0.500 0.500 0.763
Tl1 0.500 0.500 0.266
```

E_form ... -364 meV per atom
Energy above the most stable polymorph in this dataset ... 0.00 eV/f.u.
Fermi-level density of states ... 1.776 states/eV per cell
Raw total energy ... -16.8 eV/cell
Total magnetic moment ... 0.0 Bohr magnetons per cell